1.
Entry from Alexandria: a relaxed BeReP3 crystal (PBE-GGA). Values from VASP.

```
&SYSTEM
  ibrav = 0, nat = 5, ntyp = 3
/
ATOMIC_SPECIES
Be 9.01 Be.upf
Re 186.21 Re.upf
P 30.97 P.upf
ATOMIC_POSITIONS crystal
Be 0.0000 0.0000 0.0000
Re 0.5000 0.5000 0.5000
P 0.0000 0.5000 0.5000
P 0.5000 0.0000 0.5000
P 0.5000 0.5000 0.0000
CELL_PARAMETERS angstrom
4.6339 0.0000 0.0000
0.0000 4.6339 0.0000
0.0000 0.0000 4.6339
```

2.
Entry from Alexandria: a relaxed BeReP2 crystal (PBE-GGA). Values from VASP.

```
&SYSTEM
  ibrav = 0, nat = 4, ntyp = 3
/
ATOMIC_SPECIES
Be 9.01 Be.upf
Re 186.21 Re.upf
P 30.97 P.upf
ATOMIC_POSITIONS crystal
Be 0.0000 0.0000 0.0000
Re 0.5000 0.0000 0.5000
P 0.3464 0.5000 0.1951
P 0.6536 0.5000 0.8049
CELL_PARAMETERS angstrom
3.0553 0.0000 0.0000
0.0000 4.0781 0.0000
-1.2195 0.0000 4.3050
```

3.
Entry from Alexandria: a relaxed BeReP2 crystal (PBE-GGA). Values from VASP.

```
&SYSTEM
  ibrav = 0, nat = 4, ntyp = 3
/
ATOMIC_SPECIES
Be 9.01 Be.upf
Re 186.21 Re.upf
P 30.97 P.upf
ATOMIC_POSITIONS crystal
Be 0.0000 0.0000 0.0000
Re 0.5000 0.0000 0.5000
P 0.0000 0.5000 0.5000
P 0.5000 0.5000 0.0000
CELL_PARAMETERS angstrom
3.1106 0.0000 0.0000
0.0000 3.7532 0.0000
0.0000 0.0000 4.3520
```

| no. | distance to the lowest polymorph of the same formula (meV/atom) |
| --- | --- |
| 1 | 0 |
| 2 | 159 |
| 3 | 494 |